The following is a PBE calculation of a relaxed K2TlAgF6 crystal, from the Open Quantum Materials Database.

Unit cell a=6.2586 b=6.2586 c=13.5836 alpha=90.00 beta=90.00 gamma=120.00
Space group R3 (No. 146, hexagonal axes)
Inequivalent atoms, fractional coordinates:
K 0.0000 0.0000 0.0000 x3
K 0.0000 0.0000 0.4847 x3
Tl 0.0000 0.0000 0.7465 x3
Ag 0.0000 0.0000 0.2350 x3
F 0.0376 0.7470 0.8453 x9
F 0.0726 0.3352 0.3370 x9

Computed properties:
E_tot (eV/cell): -116.5